Entry from Alexandria via LeMat-Bulk: a relaxed structure of Li5Al24 (PBEsol).

Unit cell a=8.601 b=8.601 c=8.601 alpha=109.47 beta=109.47 gamma=109.47
Element x y z (fractional)
1 Al 0.381 0.193 0.000
2 Al 0.407 0.686 0.000
3 Al 0.721 0.314 0.314
4 Al 0.619 0.619 0.812
5 Al 0.686 0.407 0.000
6 Al 0.000 0.381 0.193
7 Al 0.193 0.000 0.381
8 Al 0.807 0.807 0.188
9 Al 0.188 0.807 0.807
10 Al 0.593 0.279 0.593
11 Al 0.000 0.686 0.407
12 Al 0.314 0.314 0.721
13 Al 0.000 0.193 0.381
14 Al 0.812 0.619 0.619
15 Al 0.193 0.381 0.000
16 Al 0.279 0.593 0.593
17 Al 0.686 0.000 0.407
18 Al 0.407 0.000 0.686
19 Al 0.593 0.593 0.279
20 Al 0.000 0.407 0.686
21 Al 0.619 0.812 0.619
22 Al 0.314 0.721 0.314
23 Al 0.807 0.188 0.807
24 Al 0.381 0.000 0.193
25 Li 0.348 0.348 0.348
26 Li 0.652 0.000 0.000
27 Li 0.000 0.000 0.000
28 Li 0.000 0.000 0.652
29 Li 0.000 0.652 0.000

## Properties
- ΔH_f (0 K): -0.013 eV/atom